Entry 1:
DFT (GGA-PBE) results for an optimized crystal structure of NiSbIr2.

abc: 3.999 3.999 3.768
angles: 90.00 90.00 90.00
Atoms (fractional coordinates):
Sb1 0.000 0.500 0.500
Ni1 0.500 0.000 0.500
Ir1 0.000 0.000 0.000
Ir2 0.500 0.500 0.000

Values from the calculation:
Size of the total moment   0.0 μB per formula unit
Energy   -6.885 eV/atom

Entry 2:
DFT (GGA-PBE) results for an optimized crystal structure of Si2NiSbIr.

abc: 4.204 5.127 4.204
angles: 90.00 90.00 90.00
Atoms (fractional coordinates):
Ir1 0.500 0.500 0.500
Si1 0.500 0.000 0.000
Sb1 0.000 0.500 0.000
Si2 0.000 0.000 0.500
Ni1 0.000 0.000 0.000

Values from the calculation:
Size of the total moment   0.0 μB per formula unit
Energy   -5.346 eV/atom

Entry 3:
DFT (GGA-PBE) results for an optimized crystal structure of Sm2Ni3Sb4Ir.

abc: 4.482 4.482 10.150
angles: 90.00 90.00 90.00
Atoms (fractional coordinates):
Sm1 0.000 0.500 0.741
Ni1 0.500 0.000 0.878
Sb1 0.500 0.000 0.635
Ni2 0.000 0.500 0.122
Sm2 0.500 0.000 0.259
Sb2 0.000 0.500 0.365
Ir1 0.500 0.500 0.500
Sb3 0.000 0.000 0.000
Sb4 0.500 0.500 0.000
Ni3 0.000 0.000 0.500

Values from the calculation:
Size of the total moment   0.0 μB per formula unit
Energy   -5.801 eV/atom

Entry 4:
DFT (GGA-PBE) results for an optimized crystal structure of Ni2SbTeIr.

abc: 4.752 4.951 4.752
angles: 90.00 90.00 90.00
Atoms (fractional coordinates):
Ni1 0.500 0.000 0.000
Ni2 0.000 0.000 0.500
Sb1 0.000 0.500 0.000
Te1 0.500 0.500 0.500
Ir1 0.000 0.000 0.000

Values from the calculation:
Size of the total moment   2.2 μB per formula unit
Energy   -4.760 eV/atom

Entry 5:
DFT (GGA-PBE) results for an optimized crystal structure of Ti2Ni7Sb2Ir.

abc: 3.473 3.473 14.787
angles: 83.32 83.32 89.99
Atoms (fractional coordinates):
Ti1 0.625 0.625 0.748
Sb1 0.813 0.813 0.375
Ni1 0.275 0.275 0.452
Ni2 0.435 0.935 0.131
Ti2 0.375 0.375 0.252
Ni3 0.500 0.500 0.000
Sb2 0.187 0.187 0.625
Ni4 0.065 0.565 0.869
Ir1 0.000 0.000 0.000
Ni5 0.935 0.435 0.131
Ni6 0.565 0.065 0.869
Ni7 0.725 0.725 0.548

Values from the calculation:
Size of the total moment   1.8 μB per formula unit
Energy   -6.174 eV/atom

Entry 6:
DFT (GGA-PBE) results for an optimized crystal structure of ZrNi2SbIr.

abc: 4.614 4.948 4.614
angles: 90.00 90.00 90.00
Atoms (fractional coordinates):
Zr1 0.000 0.500 0.000
Ni1 0.500 0.000 0.000
Ni2 0.000 0.000 0.500
Ir1 0.000 0.000 0.000
Sb1 0.500 0.500 0.500

Values from the calculation:
Size of the total moment   1.1 μB per formula unit
Energy   -6.097 eV/atom

Entry 7:
DFT (GGA-PBE) results for an optimized crystal structure of ScNiIr2.

abc: 4.301 2.815 5.132
angles: 75.52 90.00 90.00
Atoms (fractional coordinates):
Ir1 0.000 0.389 0.478
Ni1 0.500 0.250 0.250
Ir2 0.000 0.111 0.022
Sc1 0.500 0.750 0.750

Values from the calculation:
Size of the total moment   0.0 μB per formula unit
Calculated formation energy   -0.3493 eV per atom

Entry 8:
DFT (GGA-PBE) results for an optimized crystal structure of ScNiIr2.

abc: 4.790 4.790 4.790
angles: 132.37 132.37 69.64
Atoms (fractional coordinates):
Ni1 0.500 0.500 0.000
Ir1 0.000 0.000 0.000
Sc1 0.250 0.750 0.500
Ir2 0.750 0.250 0.500

Values from the calculation:
Size of the total moment   0.0 μB per formula unit
Calculated formation energy   -0.4151 eV per atom

- Which value of size of the total moment does entry 2 give?
  0.0 μB per formula unit

- Which formula does entry 6 have?
  ZrNi2SbIr